# 1
The following is a SCAN calculation of NbZnTc3 at its PBEsol-relaxed geometry, from Alexandria.

a b c (Å): 4.6539 4.6539 4.6539
angles (deg): 90.00 90.00 90.00
Sites, in units of the cell vectors:
Zn: 0.5000 0.5000 0.5000
Tc: 0.0000 0.0000 0.5000
Tc: 0.5000 0.0000 0.0000
Tc: 0.0000 0.5000 0.0000
Nb: 0.0000 0.0000 0.0000

Properties
formation energy: 1.878 eV/atom



# 2
The following is a SCAN calculation of ZrNbTc at its PBEsol-relaxed geometry, from Alexandria.

a b c (Å): 3.2153 3.2153 5.5501
angles (deg): 106.84 106.84 90.00
Sites, in units of the cell vectors:
Nb: 0.7731 0.7731 0.5462
Tc: 0.4172 0.4172 0.8344
Zr: 0.0843 0.0843 0.1686

Properties
formation energy: -0.322 eV/atom



# 3
The following is a SCAN calculation of Nb2Te3 at its PBEsol-relaxed geometry, from Alexandria.

a b c (Å): 3.6489 7.6644 9.0407
angles (deg): 77.51 78.36 76.23
Sites, in units of the cell vectors:
Nb: 0.6625 0.5534 0.1216
Nb: 0.3375 0.4466 0.8784
Nb: 0.2432 0.8873 0.6264
Nb: 0.7568 0.1127 0.3736
Te: 0.1219 0.4034 0.3528
Te: 0.1278 0.7892 0.9551
Te: 0.8781 0.5966 0.6472
Te: 0.8722 0.2108 0.0449
Te: 0.5845 0.1502 0.6808
Te: 0.4155 0.8498 0.3192

Properties
formation energy (no corrections): -0.471 eV per atom



# 4
The following is a SCAN calculation of TiNbTe3 at its PBEsol-relaxed geometry, from Alexandria.

a b c (Å): 5.1916 5.1916 5.1916
angles (deg): 90.00 90.00 90.00
Sites, in units of the cell vectors:
Nb: 0.5000 0.5000 0.5000
Te: 0.5000 0.0000 0.0000
Te: 0.0000 0.5000 0.0000
Te: 0.0000 0.0000 0.5000
Ti: 0.0000 0.0000 0.0000

Properties
formation energy (no corrections): 0.411 eV per atom



# 5
The following is a SCAN calculation of TiNbTeW2 at its PBEsol-relaxed geometry, from Alexandria.

a b c (Å): 4.6757 4.8151 4.8151
angles (deg): 90.00 90.00 90.00
Sites, in units of the cell vectors:
Ti: 0.5000 0.0000 0.0000
Nb: 0.5000 0.5000 0.5000
W: 0.0000 0.0000 0.5000
W: 0.0000 0.5000 0.0000
Te: 0.0000 0.0000 0.0000

Properties
formation energy (no corrections): 1.988 eV per atom



# 6
The following is a SCAN calculation of Nb6TlTe8 at its PBEsol-relaxed geometry, from Alexandria.

a b c (Å): 3.6077 10.6667 10.6667
angles (deg): 120.00 90.00 90.00
Sites, in units of the cell vectors:
Te: 0.2488 0.6667 0.3333
Te: 0.2462 0.6635 0.9336
Te: 0.7538 0.3365 0.0664
Te: 0.2462 0.0664 0.7299
Te: 0.7538 0.9336 0.2701
Te: 0.7512 0.3333 0.6667
Te: 0.7538 0.7299 0.6635
Te: 0.2462 0.2701 0.3365
Nb: 0.7483 0.8979 0.5117
Nb: 0.2517 0.3862 0.8979
Nb: 0.7483 0.6138 0.1021
Nb: 0.2517 0.1021 0.4883
Nb: 0.7483 0.4883 0.3862
Nb: 0.2517 0.5117 0.6138
Tl: 0.5000 0.0000 0.0000

Properties
formation energy (no corrections): -0.483 eV per atom